# 1
Here is a relaxed structure of CaNi2OsC from the Alexandria database. Energies are from PBE. Values from VASP.

Properties
SG: P4/mmm
N(E_F), states/eV/cell: 5.85
Uncorrected energy, eV/atom: -6.01
Density, g/cm3: 8.791
ΔH_f (0 K), kJ/mol of formula units: 384

Quantum ESPRESSO input file:
```
&SYSTEM
  ibrav = 0, nat = 5, ntyp = 4
/
ATOMIC_SPECIES
Ni 58.69 Ni.upf
C 12.01 C.upf
Ca 40.08 Ca.upf
Os 190.23 Os.upf
CELL_PARAMETERS angstrom
3.8221 0.0000 0.0000
0.0000 4.6510 0.0000
0.0000 0.0000 3.8221
ATOMIC_POSITIONS angstrom
Ni 0.0000 0.0000 1.9111
Ni 1.9111 0.0000 0.0000
C 0.0000 0.0000 0.0000
Ca 0.0000 2.3255 0.0000
Os 1.9111 2.3255 1.9111
```



# 2
Here is a relaxed structure of Ca2NiPC from the Alexandria database. Energies are from PBE. Values from VASP.

Properties
SG: P4/mmm
N(E_F), states/eV/cell: 2.58
Uncorrected energy, eV/atom: -4.35
Density, g/cm3: 2.539
ΔH_f (0 K), kJ/mol of formula units: 255

Quantum ESPRESSO input file:
```
&SYSTEM
  ibrav = 0, nat = 5, ntyp = 4
/
ATOMIC_SPECIES
P 30.97 P.upf
C 12.01 C.upf
Ni 58.69 Ni.upf
Ca 40.08 Ca.upf
CELL_PARAMETERS angstrom
-3.9315 -3.5946 -0.8833
0.6064 -1.5754 3.7122
-3.6133 3.4475 2.0534
ATOMIC_POSITIONS angstrom
P 0.0000 0.0000 0.0000
C -3.4692 -0.8613 2.4411
Ni 0.3032 -0.7877 1.8561
Ca -1.8067 1.7237 1.0267
Ca -1.9658 -1.7973 -0.4416
```



# 3
Here is a relaxed structure of Ca2NiPtC from the Alexandria database. Energies are from PBE. Values from VASP.

Properties
SG: P4/mmm
N(E_F), states/eV/cell: 1.33
Uncorrected energy, eV/atom: -5.32
Density, g/cm3: 6.210
ΔH_f (0 K), kJ/mol of formula units: -147

Quantum ESPRESSO input file:
```
&SYSTEM
  ibrav = 0, nat = 5, ntyp = 4
/
ATOMIC_SPECIES
Pt 195.08 Pt.upf
Ca 40.08 Ca.upf
Ni 58.69 Ni.upf
C 12.01 C.upf
CELL_PARAMETERS angstrom
5.0953 0.0000 0.0000
0.0000 5.0953 0.0000
0.0000 0.0000 3.5628
ATOMIC_POSITIONS angstrom
Pt 2.5477 2.5477 1.7814
Ca 2.5477 0.0000 0.0000
Ca 0.0000 2.5477 0.0000
Ni 0.0000 0.0000 1.7814
C 0.0000 0.0000 0.0000
```



Question: What is the formula in the first record?
Answer: CaNi2OsC